AlRh (PBE, relaxed); energy = -24.15 eV per cell; SG = R-3m, No. 166
1.0
2.129 1.229 4.111
-2.129 1.229 4.111
0.000 -2.458 4.111
Al Rh
2 2
Cartesian
0.000 0.000 1.334
0.000 0.000 10.998
0.000 0.000 3.768
0.000 0.000 8.564